Arrangement one

! K4Au | Alexandria via LeMat-Bulk | PBE | optimized geometry; values from VASP
&SYSTEM
  ibrav = 0, nat = 5, ntyp = 2
/
ATOMIC_SPECIES
K 39.10 K.upf
Au 196.97 Au.upf
CELL_PARAMETERS angstrom
-5.329 3.843 0.816
-3.806 -5.391 0.535
0.975 -0.039 6.548
ATOMIC_POSITIONS crystal
K 0.000 0.000 0.000
K 0.500 0.000 0.500
K 0.000 0.500 0.500
K 0.500 0.500 0.000
Au 0.500 0.500 0.500
! DOS at the Fermi energy: 3.7 states/eV per cell
! Total magnetization: 0.0 μB per cell

=====

Arrangement two

! K4Au | Alexandria via LeMat-Bulk | PBE | optimized geometry; values from VASP
&SYSTEM
  ibrav = 0, nat = 5, ntyp = 2
/
ATOMIC_SPECIES
Au 196.97 Au.upf
K 39.10 K.upf
CELL_PARAMETERS angstrom
7.022 0.000 0.000
-2.341 6.621 0.000
-2.341 -3.310 5.734
ATOMIC_POSITIONS crystal
Au 0.000 0.000 0.000
K 0.000 0.500 0.000
K 0.500 0.500 0.500
K 0.000 0.000 0.500
K 0.500 0.000 0.000
! DOS at the Fermi energy: 3.5 states/eV per cell
! Total magnetization: 0.0 μB per cell

=====

Energy comparison, zero being the most stable, in kJ/mol of atoms: arrangement one 0.0; arrangement two 2.4.

=====

Arrangement one

! K4Au | Alexandria via LeMat-Bulk | PBE | optimized geometry; values from VASP
&SYSTEM
  ibrav = 0, nat = 10, ntyp = 2
/
ATOMIC_SPECIES
K 39.10 K.upf
Au 196.97 Au.upf
CELL_PARAMETERS angstrom
-4.864 -3.495 4.513
6.050 -5.690 2.114
1.793 9.496 3.056
ATOMIC_POSITIONS crystal
K 0.661 0.019 0.323
K 0.161 0.304 0.323
K 0.425 0.621 0.849
K 0.925 0.228 0.849
K 0.575 0.379 0.151
K 0.075 0.772 0.151
K 0.839 0.696 0.677
K 0.339 0.981 0.677
Au 0.750 0.000 0.000
Au 0.250 0.000 0.000
! DOS at the Fermi energy: 5.8 states/eV per cell
! Total magnetization: 0.0 μB per cell

=====

Arrangement two

! K4Au | Alexandria via LeMat-Bulk | PBE | optimized geometry; values from VASP
&SYSTEM
  ibrav = 0, nat = 5, ntyp = 2
/
ATOMIC_SPECIES
Au 196.97 Au.upf
K 39.10 K.upf
CELL_PARAMETERS angstrom
8.167 -0.043 0.000
-7.040 4.140 0.000
-0.564 -2.049 7.886
ATOMIC_POSITIONS crystal
Au 0.000 0.000 0.000
K 0.744 0.445 0.189
K 0.445 0.256 0.702
K 0.256 0.555 0.811
K 0.555 0.744 0.298
! DOS at the Fermi energy: 3.5 states/eV per cell
! Total magnetization: 0.0 μB per cell

=====

Energy comparison, zero being the most stable, in kJ/mol of atoms: arrangement one 0.0; arrangement two 0.7.

=====

Arrangement one

! K2Au3 | Alexandria via LeMat-Bulk | PBE | optimized geometry; values from VASP
&SYSTEM
  ibrav = 0, nat = 5, ntyp = 2
/
ATOMIC_SPECIES
Au 196.97 Au.upf
K 39.10 K.upf
CELL_PARAMETERS angstrom
8.872 -0.020 -0.012
7.619 4.544 -0.012
7.619 2.090 4.035
ATOMIC_POSITIONS crystal
Au 0.000 0.000 0.000
Au 0.166 0.166 0.166
Au 0.834 0.834 0.834
K 0.589 0.589 0.589
K 0.411 0.411 0.411
! DOS at the Fermi energy: 0.6 states/eV per cell
! Total magnetization: 0.0 μB per cell

=====

Arrangement two

! K2Au3 | Alexandria via LeMat-Bulk | PBE | optimized geometry; values from VASP
&SYSTEM
  ibrav = 0, nat = 5, ntyp = 2
/
ATOMIC_SPECIES
Au 196.97 Au.upf
K 39.10 K.upf
CELL_PARAMETERS angstrom
-6.070 0.213 -1.631
-1.150 -5.084 -3.519
2.445 0.820 5.736
ATOMIC_POSITIONS crystal
Au 0.000 0.000 0.000
Au 0.746 0.500 0.246
Au 0.254 0.500 0.754
K 0.694 0.194 0.500
K 0.306 0.806 0.500
! DOS at the Fermi energy: 1.1 states/eV per cell
! Total magnetization: 0.0 μB per cell

=====

Energy comparison, zero being the most stable, in kJ/mol of atoms: arrangement one 8.8; arrangement two 0.0.

=====

Arrangement one

! K6Au | Alexandria via LeMat-Bulk | PBE | optimized geometry; values from VASP
&SYSTEM
  ibrav = 0, nat = 28, ntyp = 2
/
ATOMIC_SPECIES
K 39.10 K.upf
Au 196.97 Au.upf
CELL_PARAMETERS angstrom
-7.294 -3.018 1.607
5.899 -10.421 7.203
-0.682 8.470 12.812
ATOMIC_POSITIONS crystal
K 0.745 0.250 0.504
K 0.255 0.750 0.496
K 0.245 0.750 0.996
K 0.755 0.250 0.004
K 0.414 0.250 0.753
K 0.586 0.750 0.247
K 0.914 0.750 0.747
K 0.086 0.250 0.253
K 0.248 0.417 0.502
K 0.752 0.583 0.498
K 0.748 0.583 0.998
K 0.752 0.917 0.498
K 0.252 0.417 0.002
K 0.248 0.083 0.502
K 0.252 0.083 0.002
K 0.748 0.917 0.998
K 0.914 0.417 0.752
K 0.086 0.583 0.248
K 0.414 0.583 0.748
K 0.086 0.917 0.248
K 0.586 0.417 0.252
K 0.914 0.083 0.752
K 0.586 0.083 0.252
K 0.414 0.917 0.748
Au 0.082 0.250 0.627
Au 0.918 0.750 0.373
Au 0.582 0.750 0.873
Au 0.418 0.250 0.127
! DOS at the Fermi energy: 17.0 states/eV per cell
! Total magnetization: 0.0 μB per cell

=====

Arrangement two

! K6Au | Alexandria via LeMat-Bulk | PBE | optimized geometry; values from VASP
&SYSTEM
  ibrav = 0, nat = 7, ntyp = 2
/
ATOMIC_SPECIES
K 39.10 K.upf
Au 196.97 Au.upf
CELL_PARAMETERS angstrom
-7.724 -5.884 0.855
4.496 0.733 8.618
-2.947 8.831 -2.889
ATOMIC_POSITIONS crystal
K 0.250 0.750 0.500
K 0.500 0.750 0.250
K 0.250 0.500 0.750
K 0.750 0.250 0.500
K 0.500 0.250 0.750
K 0.750 0.500 0.250
Au 0.000 0.000 0.000
! DOS at the Fermi energy: 4.6 states/eV per cell
! Total magnetization: 0.0 μB per cell

=====

Energy comparison, zero being the most stable, in kJ/mol of atoms: arrangement one 0.0; arrangement two 56.9.

=====

Arrangement one

! K5Au4 | Alexandria via LeMat-Bulk | PBE | optimized geometry; values from VASP
&SYSTEM
  ibrav = 0, nat = 9, ntyp = 2
/
ATOMIC_SPECIES
K 39.10 K.upf
Au 196.97 Au.upf
CELL_PARAMETERS angstrom
-0.774 -4.452 1.957
2.766 -4.727 -3.462
9.077 -1.739 5.831
ATOMIC_POSITIONS crystal
K 0.102 0.194 0.601
K 0.898 0.806 0.399
K 0.747 0.681 0.824
K 0.253 0.319 0.176
K 0.000 0.000 0.000
Au 0.441 0.282 0.835
Au 0.559 0.718 0.165
Au 0.387 0.611 0.614
Au 0.613 0.389 0.386
! DOS at the Fermi energy: 2.3 states/eV per cell
! Total magnetization: 0.0 μB per cell

=====

Arrangement two

! K5Au4 | Alexandria via LeMat-Bulk | PBE | optimized geometry; values from VASP
&SYSTEM
  ibrav = 0, nat = 9, ntyp = 2
/
ATOMIC_SPECIES
K 39.10 K.upf
Au 196.97 Au.upf
CELL_PARAMETERS angstrom
1.601 -5.957 4.604
-6.038 3.050 -3.673
3.673 -2.617 -6.237
ATOMIC_POSITIONS crystal
K 0.000 0.000 0.000
K 0.317 0.683 0.000
K 0.683 0.317 0.000
K 0.683 0.683 0.366
K 0.317 0.317 0.634
Au 0.355 0.000 0.355
Au 0.645 0.000 0.645
Au 0.000 0.645 0.645
Au 0.000 0.355 0.355
! DOS at the Fermi energy: 2.5 states/eV per cell
! Total magnetization: 0.8 μB per cell

=====

Energy comparison, zero being the most stable, in kJ/mol of atoms: arrangement one 0.0; arrangement two 19.8.

=====

Arrangement one

! KLaAu | Alexandria via LeMat-Bulk | PBE | optimized geometry; values from VASP
&SYSTEM
  ibrav = 0, nat = 3, ntyp = 3
/
ATOMIC_SPECIES
Au 196.97 Au.upf
K 39.10 K.upf
La 138.91 La.upf
CELL_PARAMETERS angstrom
-2.446 -2.282 7.261
1.348 -1.564 7.723
-0.850 3.339 1.804
ATOMIC_POSITIONS crystal
Au 0.976 0.976 0.024
K 0.638 0.638 0.362
La 0.385 0.385 0.615
! DOS at the Fermi energy: 3.2 states/eV per cell
! Total magnetization: 0.0 μB per cell

=====

Arrangement two

! KLaAu | Alexandria via LeMat-Bulk | PBE | optimized geometry; values from VASP
&SYSTEM
  ibrav = 0, nat = 6, ntyp = 3
/
ATOMIC_SPECIES
K 39.10 K.upf
La 138.91 La.upf
Au 196.97 Au.upf
CELL_PARAMETERS angstrom
4.304 -0.003 0.343
-0.024 4.303 0.343
-1.157 -1.163 13.724
ATOMIC_POSITIONS crystal
K 0.251 0.251 0.636
K 0.749 0.749 0.364
La 0.748 0.748 0.893
La 0.252 0.252 0.107
Au 0.248 0.248 0.880
Au 0.752 0.752 0.120
! DOS at the Fermi energy: 4.8 states/eV per cell
! Total magnetization: 0.0 μB per cell

=====

Arrangement three

! KLaAu | Alexandria via LeMat-Bulk | PBE | optimized geometry; values from VASP
&SYSTEM
  ibrav = 0, nat = 3, ntyp = 3
/
ATOMIC_SPECIES
Au 196.97 Au.upf
K 39.10 K.upf
La 138.91 La.upf
CELL_PARAMETERS angstrom
-4.038 1.166 -0.980
0.807 -3.992 1.428
-1.103 2.441 7.448
ATOMIC_POSITIONS crystal
Au 0.000 0.000 0.966
K 0.333 0.667 0.266
La 0.667 0.333 0.768
! DOS at the Fermi energy: 2.7 states/eV per cell
! Total magnetization: 0.0 μB per cell

=====

Energy comparison, zero being the most stable, in kJ/mol of atoms: arrangement one 13.1; arrangement two 0.0; arrangement three 20.5.